[1]
This record from Alexandria via LeMat-Bulk describes an optimized crystal structure of Dy5SnSb2. The functional is GGA-PBE.

Summary:
Calculated total energy   -0.35573 Ry per atom
Uncorrected formation energy   -0.433 eV per atom

The structure in CIF format:
```
data_Dy5SnSb2
_chemical_formula_sum 'Dy20 Sn4 Sb8'
_cell_length_a 6.056
_cell_length_b 12.560
_cell_length_c 14.143
_cell_angle_alpha 90.00
_cell_angle_beta 90.00
_cell_angle_gamma 90.00
_symmetry_space_group_name_H-M 'C m c m'
_symmetry_Int_Tables_number 63
_symmetry_space_group_name_Hall '-C 2c 2'
loop_
_atom_site_label
_atom_site_type_symbol
_atom_site_fract_x
_atom_site_fract_y
_atom_site_fract_z
Dy1 Dy 0.000 0.059 0.114
Dy2 Dy 0.000 0.320 0.750
Dy3 Dy 0.000 0.371 0.062
Sn1 Sn 0.000 0.246 0.250
Sb1 Sb 0.000 0.178 0.575
```

[2]
This record from Alexandria via LeMat-Bulk describes an optimized crystal structure of Na4TmRh3O8. The functional is GGA-PBE.

Summary:
Calculated total energy   -0.44104 Ry per atom
Uncorrected formation energy   -1.534 eV per atom

The structure in CIF format:
```
data_Na4TmRh3O8
_chemical_formula_sum 'Na12 Tm3 Rh9 O24'
_cell_length_a 6.3204
_cell_length_b 6.3204
_cell_length_c 16.2826
_cell_angle_alpha 90.00
_cell_angle_beta 90.00
_cell_angle_gamma 120.00
_symmetry_space_group_name_H-M 'R -3 m'
_symmetry_Int_Tables_number 166
_symmetry_space_group_name_Hall '-R 3 2"'
loop_
_atom_site_label
_atom_site_type_symbol
_atom_site_fract_x
_atom_site_fract_y
_atom_site_fract_z
Na1 Na 0.0000 0.0000 0.0000
Na2 Na 0.0000 0.5000 0.0000
Tm1 Tm 0.0000 0.0000 0.5000
Rh1 Rh 0.0000 0.5000 0.5000
O1 O 0.0000 0.0000 0.2302
O2 O 0.0140 0.5070 0.7621
```

[3]
This record from Alexandria via LeMat-Bulk describes an optimized crystal structure of YAl2CuB. The functional is GGA-PBE.

Summary:
Calculated total energy   -0.21378 Ry per atom
Formation energy   10.2 eV/f.u.

The structure in CIF format:
```
data_YAl2CuB
_chemical_formula_sum 'Y1 Al2 Cu1 B1'
_cell_length_a 5.667
_cell_length_b 5.667
_cell_length_c 5.005
_cell_angle_alpha 90.00
_cell_angle_beta 90.00
_cell_angle_gamma 90.00
_symmetry_space_group_name_H-M 'P 4/m m m'
_symmetry_Int_Tables_number 123
_symmetry_space_group_name_Hall '-P 4 2'
loop_
_atom_site_label
_atom_site_type_symbol
_atom_site_fract_x
_atom_site_fract_y
_atom_site_fract_z
Y1 Y 0.000 0.000 0.000
Al1 Al 0.000 0.500 0.000
Cu1 Cu 0.000 0.000 0.500
B1 B 0.500 0.500 0.500
```

[4]
This record from Alexandria via LeMat-Bulk describes an optimized crystal structure of SrLiMn2. The functional is GGA-PBE.

Summary:
Calculated total energy   -0.34951 Ry per atom
Formation energy   2.9 eV/f.u.

The structure in CIF format:
```
data_SrLiMn2
_chemical_formula_sum 'Sr4 Li4 Mn8'
_cell_length_a 7.252
_cell_length_b 7.252
_cell_length_c 7.252
_cell_angle_alpha 90.00
_cell_angle_beta 90.00
_cell_angle_gamma 90.00
_symmetry_space_group_name_H-M 'F m -3 m'
_symmetry_Int_Tables_number 225
_symmetry_space_group_name_Hall '-F 4 2 3'
loop_
_atom_site_label
_atom_site_type_symbol
_atom_site_fract_x
_atom_site_fract_y
_atom_site_fract_z
Sr1 Sr 0.000 0.000 0.000
Li1 Li 0.000 0.000 0.500
Mn1 Mn 0.250 0.250 0.250
```

[5]
This record from Alexandria via LeMat-Bulk describes an optimized crystal structure of Ce6Sn2Os. The functional is GGA-PBE.

Summary:
Calculated total energy   -0.47494 Ry per atom
Formation energy   -3.3 eV/f.u.

The structure in CIF format:
```
data_Ce6Sn2Os
_chemical_formula_sum 'Ce6 Sn2 Os1'
_cell_length_a 8.5124
_cell_length_b 8.5124
_cell_length_c 3.9245
_cell_angle_alpha 90.00
_cell_angle_beta 90.00
_cell_angle_gamma 120.00
_symmetry_space_group_name_H-M 'P -6 2 m'
_symmetry_Int_Tables_number 189
_symmetry_space_group_name_Hall 'P -6 -2'
loop_
_atom_site_label
_atom_site_type_symbol
_atom_site_fract_x
_atom_site_fract_y
_atom_site_fract_z
Ce1 Ce 0.0000 0.2451 0.0000
Ce2 Ce 0.0000 0.6045 0.5000
Sn1 Sn 0.3333 0.6667 0.0000
Os1 Os 0.0000 0.0000 0.5000
```

[6]
This record from Alexandria via LeMat-Bulk describes an optimized crystal structure of Al2V5Mo. The functional is GGA-PBE.

Summary:
Calculated total energy   -0.59749 Ry per atom
Formation energy   -1.1 eV/f.u.

The structure in CIF format:
```
data_Al2V5Mo
_chemical_formula_sum 'Al4 V10 Mo2'
_cell_length_a 5.239
_cell_length_b 10.299
_cell_length_c 4.201
_cell_angle_alpha 90.00
_cell_angle_beta 90.00
_cell_angle_gamma 90.00
_symmetry_space_group_name_H-M 'P b a m'
_symmetry_Int_Tables_number 55
loop_
_symmetry_equiv_pos_as_xyz
'x,y,z'
'-x,-y,-z'
'-x,-y,z'
'x,y,-z'
'x+1/2,-y+1/2,-z'
'-x+1/2,y+1/2,z'
'-x+1/2,y+1/2,-z'
'x+1/2,-y+1/2,z'
loop_
_atom_site_label
_atom_site_type_symbol
_atom_site_fract_x
_atom_site_fract_y
_atom_site_fract_z
Al1 Al 0.185 0.117 0.000
V1 V 0.000 0.000 0.500
V2 V 0.106 0.754 0.500
V3 V 0.181 0.368 0.000
Mo1 Mo 0.000 0.500 0.500
```